No. 1
Material: ScPtPb2
Method: DFT, PBE-GGA
State: relaxed

As for the total magnetization: 0.00 μB per cell. The value obtained for the energy of formation is -8.0 kcal/mol of atoms.

The space group is Immm (No. 71) and the conventional cell measures 3.675, 3.998 and 14.174 Å, with angles of 90.00, 90.00 and 90.00 degrees. The inequivalent atoms are Sc at (0.000, 0.000, 0.000), Pt at (0.000, 0.000, 0.500) and Pb at (0.000, 0.500, 0.174).

***

No. 2
Material: La2Tb2Cd15
Method: DFT, PBE-GGA
State: relaxed

As for the total magnetization: 2.58 μB per cell. The value obtained for the energy of formation is -4.0 kcal/mol of atoms.

The space group is R-3m (No. 166, hexagonal axes) and the conventional cell measures 10.3216, 10.3216 and 15.3186 Å, with angles of 90.00, 90.00 and 120.00 degrees. The inequivalent atoms are La at (0.0000, 0.0000, 0.1667), Tb at (0.0000, 0.0000, 0.3995), Cd at (0.0000, 0.2921, 0.5000), Cd at (0.0000, 0.5000, 0.0000) and Cd at (0.0129, 0.5064, 0.6404).

***

No. 3
Material: Al3TeRh
Method: DFT, PBE-GGA
State: relaxed

As for the total magnetization: 0.00 μB per cell. The value obtained for the uncorrected formation energy is -205 meV per atom.

The space group is Pm-3m (No. 221) and the conventional cell measures 4.794, 4.794 and 4.794 Å, with angles of 90.00, 90.00 and 90.00 degrees. The inequivalent atoms are Al at (0.000, 0.000, 0.500), Te at (0.500, 0.500, 0.500) and Rh at (0.000, 0.000, 0.000).

***

No. 4
Material: Sr2LiMgRh
Method: DFT, PBE-GGA
State: relaxed

As for the total magnetization: 0.00 μB per cell. The value obtained for the energy of formation is -2.3 kcal/mol of atoms.

The space group is P4/mmm (No. 123) and the conventional cell measures 5.829, 5.829 and 5.063 Å, with angles of 90.00, 90.00 and 90.00 degrees. The inequivalent atoms are Sr at (0.000, 0.500, 0.000), Li at (0.000, 0.000, 0.500), Mg at (0.500, 0.500, 0.500) and Rh at (0.500, 0.500, 0.000).

***

No. 5
Material: LuScAl
Method: DFT, PBE-GGA
State: relaxed

As for the total magnetization: 0.00 μB per cell. The value obtained for the energy of formation is -4.2 kcal/mol of atoms.

The space group is P3m1 (No. 156) and the conventional cell measures 4.8730, 4.8730 and 3.3762 Å, with angles of 90.00, 90.00 and 120.00 degrees. The inequivalent atoms are Lu at (0.0000, 0.0000, 0.0000), Sc at (0.6667, 0.3333, 0.4366) and Al at (0.3333, 0.6667, 0.6362).

***

No. 6
Material: TaMnCu
Method: DFT, PBE-GGA
State: relaxed

As for the total magnetization: 0.14 μB per cell. The value obtained for the energy of formation is 5.0 kcal/mol of atoms.

The space group is P3m1 (No. 156) and the conventional cell measures 4.2942, 4.2942 and 2.5914 Å, with angles of 90.00, 90.00 and 120.00 degrees. The inequivalent atoms are Ta at (0.0000, 0.0000, 0.0000), Mn at (0.6667, 0.3333, 0.6787) and Cu at (0.3333, 0.6667, 0.3913).

***

No. 7
Material: Na2Np2NbS6
Method: DFT, PBE-GGA
State: relaxed

As for the total magnetization: 18.04 μB per cell. The value obtained for the uncorrected formation energy is -1239 meV per atom.

The space group is C2/m (No. 12) and the conventional cell measures 6.672, 11.428 and 7.167 Å, with angles of 90.00, 107.90 and 90.00 degrees. The inequivalent atoms are Na at (0.000, 0.169, 0.000), Np at (0.000, 0.335, 0.500), Nb at (0.000, 0.000, 0.500), S at (0.231, 0.159, 0.718) and S at (0.239, 0.000, 0.280).

***

No. 8
Material: TiReRh2
Method: DFT, PBE-GGA
State: relaxed

As for the total magnetization: 0.00 μB per cell. The value obtained for the energy of formation is -0.8 kcal/mol of atoms.

The space group is Fm-3m (No. 225) and the conventional cell measures 6.215, 6.215 and 6.215 Å, with angles of 90.00, 90.00 and 90.00 degrees. The inequivalent atoms are Ti at (0.000, 0.000, 0.000), Re at (0.000, 0.000, 0.500) and Rh at (0.250, 0.250, 0.250).